No. 1
{
  "formula": "Ba2ZrBr",
  "functional": "PBE",
  "state": "relaxed",
  "de_polymorph_ev_per_atom": 0.393,
  "raw_formation_energy_ev_per_atom": 0.094,
  "cell": [[-5.3053, 2.4499, 7.1874], [-7.5795, -1.1771, -5.1935], [-6.6480, -3.3207, 2.1940]],
  "species": ["Ba", "Ba", "Zr", "Br", "Ba", "Br", "Ba", "Zr"],
  "frac_coords": [[0.3750, 0.4115, 0.7500], [0.8750, 0.8385, 0.7500], [0.7500, 0.2500, 0.5000], [0.2500, 0.7500, 0.5000], [0.5885, 0.1250, 0.2500], [0.5000, 0.5000, 0.0000], [0.1615, 0.6250, 0.2500], [0.0000, 0.0000, 0.0000]]
}

***

No. 2
{
  "formula": "LaZn2Ru",
  "functional": "PBE",
  "state": "relaxed",
  "delta_e_f_ev_per_fu": -0.3,
  "cell": [[-1.6043, 2.7781, 0.2451], [-3.2741, -1.9349, 0.5001], [0.9297, -0.0001, 6.0861]],
  "species": ["Zn", "La", "Ru", "Zn"],
  "frac_coords": [[0.0000, 0.0000, 0.9424], [0.5000, 0.5000, 0.2500], [0.5000, 0.5000, 0.7500], [0.0000, 0.0000, 0.5576]]
}

***

No. 3
{
  "formula": "SrGa2AsSe6",
  "functional": "PBE",
  "state": "relaxed",
  "raw_formation_energy_ev_per_atom": -0.593,
  "cell": [[7.8754, 0.2292, 0.2379], [2.7881, 8.6631, 0.8174], [2.7881, 0.4958, 8.6874]],
  "species": ["Se", "Se", "Ga", "Sr", "Se", "Se", "Se", "Se", "Ga", "Ga", "As", "Se", "Se", "Ga", "Se", "Se", "Sr", "Se", "Se", "As"],
  "frac_coords": [[0.5602, 0.5762, 0.7252], [0.9069, 0.3764, 0.9360], [0.3195, 0.7859, 0.6294], [0.2500, 0.8195, 0.1805], [0.5931, 0.0640, 0.6236], [0.1555, 0.9713, 0.8310], [0.0602, 0.7252, 0.5762], [0.4069, 0.9360, 0.3764], [0.1805, 0.3706, 0.2141], [0.8195, 0.6294, 0.7859], [0.7500, 0.7881, 0.2119], [0.9398, 0.2748, 0.4238], [0.6555, 0.8310, 0.9713], [0.6805, 0.2141, 0.3706], [0.8445, 0.0287, 0.1690], [0.0931, 0.6236, 0.0640], [0.7500, 0.1805, 0.8195], [0.4398, 0.4238, 0.2748], [0.3445, 0.1690, 0.0287], [0.2500, 0.2119, 0.7881]]
}

***

No. 4
{
  "formula": "GdHfMgTc",
  "functional": "PBE",
  "state": "relaxed",
  "delta_e_f_ev_per_fu": 0.0,
  "cell": [[-2.3948, 4.1927, 0.8223], [-4.1897, 0.9307, -2.3602], [-4.2470, -0.0434, 2.4396]],
  "species": ["Hf", "Tc", "Gd", "Mg"],
  "frac_coords": [[0.2500, 0.2500, 0.2500], [0.0000, 0.0000, 0.0000], [0.7500, 0.7500, 0.7500], [0.5000, 0.5000, 0.5000]]
}

***

The evaluated total energy for the records listed, in turn: -3.423, -4.262, -3.922, -9.006 eV/atom.
The evaluated V for the records listed, in turn: 355.2, 76.0, 579.1, 83.1 Å³/cell.